# PBE-GGA BaTl2Ga, relaxed
data_BaTl2Ga
_symmetry_space_group_name_H-M 'R -3 m'
_symmetry_Int_Tables_number 166
_symmetry_space_group_name_Hall '-R 3 2"'
_cell_length_a 4.2664
_cell_length_b 4.2664
_cell_length_c 30.5306
_cell_angle_alpha 90.00
_cell_angle_beta 90.00
_cell_angle_gamma 120.00
loop_
_atom_site_label
_atom_site_fract_x
_atom_site_fract_y
_atom_site_fract_z
Ba1 0.0000 0.0000 0.0000
Tl1 0.0000 0.0000 0.1150
Ga1 0.0000 0.0000 0.5000
# total energy: -2.26 eV per atom
# crystal system: trigonal
# energy above the lowest structure with this stoichiometry: 356 meV per atom

***

# PBE-GGA Ba8TlGa2, relaxed
data_Ba8TlGa2
_symmetry_space_group_name_H-M 'C 1 m 1'
_symmetry_Int_Tables_number 8
_symmetry_space_group_name_Hall 'C -2y'
_cell_length_a 10.2729
_cell_length_b 19.7644
_cell_length_c 6.0351
_cell_angle_alpha 90.00
_cell_angle_beta 125.98
_cell_angle_gamma 90.00
loop_
_atom_site_label
_atom_site_fract_x
_atom_site_fract_y
_atom_site_fract_z
Ba1 0.0000 0.0000 0.0000
Ba2 0.0751 0.3958 0.5755
Ba3 0.3041 0.0000 0.8039
Ba4 0.3890 0.2117 0.8896
Ba5 0.4296 0.3425 0.4303
Tl1 0.2165 0.5000 0.2167
Ga1 0.1783 0.1579 0.1792
# total energy: -2.37 eV per atom
# crystal system: monoclinic
# energy above the lowest structure with this stoichiometry: 6 meV per atom

***

# PBE-GGA Ba2Tl2Ga, relaxed
data_Ba2Tl2Ga
_symmetry_space_group_name_H-M 'P 4/m b m'
_symmetry_Int_Tables_number 127
_symmetry_space_group_name_Hall '-P 4 2ab'
_cell_length_a 8.0778
_cell_length_b 8.0778
_cell_length_c 5.5299
_cell_angle_alpha 90.00
_cell_angle_beta 90.00
_cell_angle_gamma 90.00
loop_
_atom_site_label
_atom_site_fract_x
_atom_site_fract_y
_atom_site_fract_z
Ba1 0.1707 0.3293 0.0000
Tl1 0.1399 0.6399 0.5000
Ga1 0.0000 0.0000 0.5000
# total energy: -2.56 eV per atom
# crystal system: tetragonal
# energy above the lowest structure with this stoichiometry: 122 meV per atom

***

# PBE-GGA Ba4TlGa3, relaxed
data_Ba4TlGa3
_symmetry_space_group_name_H-M 'P m m 2'
_symmetry_Int_Tables_number 25
_symmetry_space_group_name_Hall 'P 2 -2'
_cell_length_a 4.5895
_cell_length_b 5.1605
_cell_length_c 12.7375
_cell_angle_alpha 90.00
_cell_angle_beta 90.00
_cell_angle_gamma 90.00
loop_
_atom_site_label
_atom_site_fract_x
_atom_site_fract_y
_atom_site_fract_z
Ba1 0.0000 0.0000 0.0000
Ba2 0.0000 0.5000 0.4857
Ba3 0.5000 0.0000 0.7036
Ba4 0.5000 0.5000 0.2107
Tl1 0.0000 0.5000 0.7846
Ga1 0.0000 0.0000 0.2980
Ga2 0.5000 0.0000 0.4005
Ga3 0.5000 0.5000 0.9260
# total energy: -2.73 eV per atom
# crystal system: orthorhombic

***

# PBE-GGA Ba3TlGa, relaxed
data_Ba3TlGa
_symmetry_space_group_name_H-M 'C m c m'
_symmetry_Int_Tables_number 63
_symmetry_space_group_name_Hall '-C 2c 2'
_cell_length_a 6.0267
_cell_length_b 23.3882
_cell_length_c 6.0243
_cell_angle_alpha 90.00
_cell_angle_beta 90.00
_cell_angle_gamma 90.00
loop_
_atom_site_label
_atom_site_fract_x
_atom_site_fract_y
_atom_site_fract_z
Ba1 0.0000 0.0783 0.2500
Ba2 0.0000 0.2501 0.2500
Ba3 0.0000 0.4219 0.2500
Tl1 0.0000 0.1601 0.7500
Ga1 0.0000 0.3415 0.7500
# total energy: -2.53 eV per atom
# crystal system: orthorhombic
# energy above the lowest structure with this stoichiometry: 0 meV per atom

***

# PBE-GGA BaTl2Ga, relaxed
data_BaTl2Ga
_symmetry_space_group_name_H-M 'I -4 2 d'
_symmetry_Int_Tables_number 122
_symmetry_space_group_name_Hall 'I -4 2bw'
_cell_length_a 5.3367
_cell_length_b 5.3367
_cell_length_c 20.4086
_cell_angle_alpha 90.00
_cell_angle_beta 90.00
_cell_angle_gamma 90.00
loop_
_atom_site_label
_atom_site_fract_x
_atom_site_fract_y
_atom_site_fract_z
Ba1 0.0000 0.0000 0.0000
Tl1 0.1369 0.2500 0.6250
Ga1 0.0000 0.0000 0.5000
# total energy: -2.53 eV per atom
# crystal system: tetragonal
# energy above the lowest structure with this stoichiometry: 87 meV per atom

***

# PBE-GGA Ba3Tl9Ga2, relaxed
data_Ba3Tl9Ga2
_symmetry_space_group_name_H-M 'I m m m'
_symmetry_Int_Tables_number 71
_symmetry_space_group_name_Hall '-I 2 2'
_cell_length_a 5.1502
_cell_length_b 11.8891
_cell_length_c 14.7236
_cell_angle_alpha 90.00
_cell_angle_beta 90.00
_cell_angle_gamma 90.00
loop_
_atom_site_label
_atom_site_fract_x
_atom_site_fract_y
_atom_site_fract_z
Ba1 0.0000 0.0000 0.0000
Ba2 0.0000 0.0000 0.3151
Tl1 0.0000 0.2799 0.1422
Tl2 0.0000 0.3689 0.3474
Tl3 0.0000 0.5000 0.0000
Ga1 0.0000 0.1987 0.5000
# total energy: -2.61 eV per atom
# crystal system: orthorhombic

***

# PBE-GGA Ba2Tl5Ga3, relaxed
data_Ba2Tl5Ga3
_symmetry_space_group_name_H-M 'P -4 m 2'
_symmetry_Int_Tables_number 115
_symmetry_space_group_name_Hall 'P -4 -2'
_cell_length_a 4.9883
_cell_length_b 4.9883
_cell_length_c 12.1634
_cell_angle_alpha 90.00
_cell_angle_beta 90.00
_cell_angle_gamma 90.00
loop_
_atom_site_label
_atom_site_fract_x
_atom_site_fract_y
_atom_site_fract_z
Ba1 0.0000 0.5000 0.2273
Tl1 0.0000 0.0000 0.5000
Tl2 0.0000 0.5000 0.6580
Tl3 0.5000 0.5000 0.0000
Tl4 0.5000 0.5000 0.5000
Ga1 0.0000 0.0000 0.0000
Ga2 0.0000 0.5000 0.8877
# total energy: -2.74 eV per atom
# crystal system: tetragonal

***

# PBE-GGA BaTl4Ga2, relaxed
data_BaTl4Ga2
_symmetry_space_group_name_H-M 'C m m m'
_symmetry_Int_Tables_number 65
_symmetry_space_group_name_Hall '-C 2 2'
_cell_length_a 5.4196
_cell_length_b 14.6421
_cell_length_c 5.2605
_cell_angle_alpha 90.00
_cell_angle_beta 90.00
_cell_angle_gamma 90.00
loop_
_atom_site_label
_atom_site_fract_x
_atom_site_fract_y
_atom_site_fract_z
Ba1 0.0000 0.0000 0.0000
Tl1 0.0000 0.1754 0.5000
Tl2 0.0000 0.3139 0.0000
Ga1 0.0000 0.4118 0.5000
# total energy: -2.63 eV per atom
# crystal system: orthorhombic

***

# PBE-GGA BaTlGa3, relaxed
data_BaTlGa3
_symmetry_space_group_name_H-M 'P m -3 m'
_symmetry_Int_Tables_number 221
_symmetry_space_group_name_Hall '-P 4 2 3'
_cell_length_a 5.4929
_cell_length_b 5.4929
_cell_length_c 5.4929
_cell_angle_alpha 90.00
_cell_angle_beta 90.00
_cell_angle_gamma 90.00
loop_
_atom_site_label
_atom_site_fract_x
_atom_site_fract_y
_atom_site_fract_z
Ba1 0.0000 0.0000 0.0000
Tl1 0.5000 0.5000 0.5000
Ga1 0.0000 0.5000 0.5000
# total energy: -2.51 eV per atom
# crystal system: cubic
# energy above the lowest structure with this stoichiometry: 0 meV per atom

***

# PBE-GGA Ba3Tl2Ga, relaxed
data_Ba3Tl2Ga
_symmetry_space_group_name_H-M 'C m m m'
_symmetry_Int_Tables_number 65
_symmetry_space_group_name_Hall '-C 2 2'
_cell_length_a 5.9987
_cell_length_b 18.0496
_cell_length_c 4.2182
_cell_angle_alpha 90.00
_cell_angle_beta 90.00
_cell_angle_gamma 90.00
loop_
_atom_site_label
_atom_site_fract_x
_atom_site_fract_y
_atom_site_fract_z
Ba1 0.0000 0.0000 0.0000
Ba2 0.0000 0.3411 0.0000
Tl1 0.0000 0.1718 0.5000
Ga1 0.0000 0.5000 0.5000
# total energy: -2.61 eV per atom
# crystal system: orthorhombic

***

# PBE-GGA Ba3TlGa, relaxed
data_Ba3TlGa
_symmetry_space_group_name_H-M 'C 1 2/m 1'
_symmetry_Int_Tables_number 12
_symmetry_space_group_name_Hall '-C 2y'
_cell_length_a 19.2771
_cell_length_b 4.5292
_cell_length_c 10.0828
_cell_angle_alpha 90.00
_cell_angle_beta 91.55
_cell_angle_gamma 90.00
loop_
_atom_site_label
_atom_site_fract_x
_atom_site_fract_y
_atom_site_fract_z
Ba1 0.0535 0.0000 0.3207
Ba2 0.1040 0.5000 0.9510
Ba3 0.2406 0.0000 0.6936
Tl1 0.0948 0.5000 0.5868
Ga1 0.2231 0.0000 0.0548
# total energy: -2.53 eV per atom
# crystal system: monoclinic
# energy above the lowest structure with this stoichiometry: 2 meV per atom

***

# PBE-GGA Ba6Tl5Ga, relaxed
data_Ba6Tl5Ga
_symmetry_space_group_name_H-M 'P 1 2/m 1'
_symmetry_Int_Tables_number 10
_symmetry_space_group_name_Hall '-P 2y'
_cell_length_a 6.0293
_cell_length_b 8.5363
_cell_length_c 9.5582
_cell_angle_alpha 90.00
_cell_angle_beta 108.13
_cell_angle_gamma 90.00
loop_
_atom_site_label
_atom_site_fract_x
_atom_site_fract_y
_atom_site_fract_z
Ba1 0.0000 0.2410 0.0000
Ba2 0.3370 0.2461 0.6739
Tl1 0.1679 0.5000 0.3356
Tl2 0.1698 0.0000 0.3395
Tl3 0.5000 0.5000 0.0000
Ga1 0.5000 0.0000 0.0000
# total energy: -2.58 eV per atom
# crystal system: monoclinic

***

# PBE-GGA BaTlGa4, relaxed
data_BaTlGa4
_symmetry_space_group_name_H-M 'F -4 3 m'
_symmetry_Int_Tables_number 216
_symmetry_space_group_name_Hall 'F -4 2 3'
_cell_length_a 8.4383
_cell_length_b 8.4383
_cell_length_c 8.4383
_cell_angle_alpha 90.00
_cell_angle_beta 90.00
_cell_angle_gamma 90.00
loop_
_atom_site_label
_atom_site_fract_x
_atom_site_fract_y
_atom_site_fract_z
Ba1 0.0000 0.0000 0.0000
Tl1 0.2500 0.2500 0.7500
Ga1 0.1245 0.1245 0.3755
# total energy: -2.90 eV per atom
# crystal system: cubic
# energy above the lowest structure with this stoichiometry: 65 meV per atom

***

# PBE-GGA Ba3TlGa, relaxed
data_Ba3TlGa
_symmetry_space_group_name_H-M 'P m -3 m'
_symmetry_Int_Tables_number 221
_symmetry_space_group_name_Hall '-P 4 2 3'
_cell_length_a 6.4251
_cell_length_b 6.4251
_cell_length_c 6.4251
_cell_angle_alpha 90.00
_cell_angle_beta 90.00
_cell_angle_gamma 90.00
loop_
_atom_site_label
_atom_site_fract_x
_atom_site_fract_y
_atom_site_fract_z
Ba1 0.0000 0.0000 0.5000
Tl1 0.5000 0.5000 0.5000
Ga1 0.0000 0.0000 0.0000
# total energy: -2.26 eV per atom
# crystal system: cubic
# energy above the lowest structure with this stoichiometry: 269 meV per atom

***

# PBE-GGA Ba2TlGa, relaxed
data_Ba2TlGa
_symmetry_space_group_name_H-M 'P 4/m m m'
_symmetry_Int_Tables_number 123
_symmetry_space_group_name_Hall '-P 4 2'
_cell_length_a 4.1824
_cell_length_b 4.1824
_cell_length_c 8.4718
_cell_angle_alpha 90.00
_cell_angle_beta 90.00
_cell_angle_gamma 90.00
loop_
_atom_site_label
_atom_site_fract_x
_atom_site_fract_y
_atom_site_fract_z
Ba1 0.0000 0.0000 0.2336
Tl1 0.5000 0.5000 0.5000
Ga1 0.5000 0.5000 0.0000
# total energy: -2.66 eV per atom
# crystal system: tetragonal
# energy above the lowest structure with this stoichiometry: 0 meV per atom

***

# PBE-GGA Ba2TlGa, relaxed
data_Ba2TlGa
_symmetry_space_group_name_H-M 'F m -3 m'
_symmetry_Int_Tables_number 225
_symmetry_space_group_name_Hall '-F 4 2 3'
_cell_length_a 8.4212
_cell_length_b 8.4212
_cell_length_c 8.4212
_cell_angle_alpha 90.00
_cell_angle_beta 90.00
_cell_angle_gamma 90.00
loop_
_atom_site_label
_atom_site_fract_x
_atom_site_fract_y
_atom_site_fract_z
Ba1 0.2500 0.2500 0.2500
Tl1 0.0000 0.0000 0.0000
Ga1 0.0000 0.0000 0.5000
# total energy: -2.64 eV per atom
# crystal system: cubic
# energy above the lowest structure with this stoichiometry: 17 meV per atom

***

# PBE-GGA BaTlGa3, relaxed
data_BaTlGa3
_symmetry_space_group_name_H-M 'P m -3 m'
_symmetry_Int_Tables_number 221
_symmetry_space_group_name_Hall '-P 4 2 3'
_cell_length_a 6.0465
_cell_length_b 6.0465
_cell_length_c 6.0465
_cell_angle_alpha 90.00
_cell_angle_beta 90.00
_cell_angle_gamma 90.00
loop_
_atom_site_label
_atom_site_fract_x
_atom_site_fract_y
_atom_site_fract_z
Ba1 0.0000 0.0000 0.0000
Tl1 0.5000 0.5000 0.5000
Ga1 0.0000 0.0000 0.5000
# total energy: -1.87 eV per atom
# crystal system: cubic
# energy above the lowest structure with this stoichiometry: 641 meV per atom

***

# PBE-GGA Ba8TlGa2, relaxed
data_Ba8TlGa2
_symmetry_space_group_name_H-M 'C 1 2/m 1'
_symmetry_Int_Tables_number 12
_symmetry_space_group_name_Hall '-C 2y'
_cell_length_a 21.0730
_cell_length_b 5.9997
_cell_length_c 8.3720
_cell_angle_alpha 90.00
_cell_angle_beta 108.87
_cell_angle_gamma 90.00
loop_
_atom_site_label
_atom_site_fract_x
_atom_site_fract_y
_atom_site_fract_z
Ba1 0.0344 0.0000 0.2894
Ba2 0.0985 0.5000 0.9537
Ba3 0.1718 0.5000 0.4669
Ba4 0.1993 0.0000 0.8138
Tl1 0.0000 0.5000 0.5000
Ga1 0.1846 0.0000 0.1990
# total energy: -2.37 eV per atom
# crystal system: monoclinic
# energy above the lowest structure with this stoichiometry: 0 meV per atom

***

# PBE-GGA Ba3Tl2Ga2, relaxed
data_Ba3Tl2Ga2
_symmetry_space_group_name_H-M 'C 1 2/m 1'
_symmetry_Int_Tables_number 12
_symmetry_space_group_name_Hall '-C 2y'
_cell_length_a 13.1343
_cell_length_b 4.4961
_cell_length_c 9.5737
_cell_angle_alpha 90.00
_cell_angle_beta 115.61
_cell_angle_gamma 90.00
loop_
_atom_site_label
_atom_site_fract_x
_atom_site_fract_y
_atom_site_fract_z
Ba1 0.0000 0.0000 0.0000
Ba2 0.1906 0.0000 0.6525
Tl1 0.0233 0.5000 0.3301
Ga1 0.2017 0.5000 0.9403
# total energy: -2.77 eV per atom
# crystal system: monoclinic

***

# PBE-GGA Ba2Tl2Ga, relaxed
data_Ba2Tl2Ga
_symmetry_space_group_name_H-M 'C 1 2/m 1'
_symmetry_Int_Tables_number 12
_symmetry_space_group_name_Hall '-C 2y'
_cell_length_a 13.1812
_cell_length_b 4.7898
_cell_length_c 13.0017
_cell_angle_alpha 90.00
_cell_angle_beta 114.46
_cell_angle_gamma 90.00
loop_
_atom_site_label
_atom_site_fract_x
_atom_site_fract_y
_atom_site_fract_z
Ba1 0.0985 0.0000 0.3950
Ba2 0.2000 0.5000 0.1399
Tl1 0.0526 0.0000 0.9151
Tl2 0.1263 0.5000 0.6200
Ga1 0.0609 0.5000 0.8066
# total energy: -2.68 eV per atom
# crystal system: monoclinic
# energy above the lowest structure with this stoichiometry: 0 meV per atom

***

# PBE-GGA Ba2TlGa, relaxed
data_Ba2TlGa
_symmetry_space_group_name_H-M 'A m m 2'
_symmetry_Int_Tables_number 38
_symmetry_space_group_name_Hall 'A 2 -2'
_cell_length_a 8.1958
_cell_length_b 4.4956
_cell_length_c 17.0971
_cell_angle_alpha 90.00
_cell_angle_beta 90.00
_cell_angle_gamma 90.00
loop_
_atom_site_label
_atom_site_fract_x
_atom_site_fract_y
_atom_site_fract_z
Ba1 0.0000 0.0000 0.0000
Ba2 0.0000 0.0000 0.2653
Ba3 0.5000 0.0000 0.0827
Ba4 0.5000 0.0000 0.7980
Tl1 0.3049 0.0000 0.4364
Ga1 0.1760 0.0000 0.6340
# total energy: -2.64 eV per atom
# crystal system: orthorhombic
# energy above the lowest structure with this stoichiometry: 20 meV per atom

***

# PBE-GGA Ba12Tl5Ga2, relaxed
data_Ba12Tl5Ga2
_symmetry_space_group_name_H-M 'C 1 2/m 1'
_symmetry_Int_Tables_number 12
_symmetry_space_group_name_Hall '-C 2y'
_cell_length_a 19.4508
_cell_length_b 8.6003
_cell_length_c 11.9559
_cell_angle_alpha 90.00
_cell_angle_beta 108.30
_cell_angle_gamma 90.00
loop_
_atom_site_label
_atom_site_fract_x
_atom_site_fract_y
_atom_site_fract_z
Ba1 0.0063 0.0000 0.1888
Ba2 0.0897 0.5000 0.8027
Ba3 0.1467 0.2437 0.5469
Ba4 0.1788 0.2473 0.1092
Tl1 0.0000 0.5000 0.5000
Tl2 0.1724 0.0000 0.8338
Tl3 0.2000 0.0000 0.3482
Ga1 0.0000 0.3578 0.0000
# total energy: -2.36 eV per atom
# crystal system: monoclinic

***

# PBE-GGA Ba2TlGa, relaxed
data_Ba2TlGa
_symmetry_space_group_name_H-M 'I -4 2 d'
_symmetry_Int_Tables_number 122
_symmetry_space_group_name_Hall 'I -4 2bw'
_cell_length_a 9.2984
_cell_length_b 9.2984
_cell_length_c 7.8727
_cell_angle_alpha 90.00
_cell_angle_beta 90.00
_cell_angle_gamma 90.00
loop_
_atom_site_label
_atom_site_fract_x
_atom_site_fract_y
_atom_site_fract_z
Ba1 0.2296 0.2500 0.1250
Tl1 0.0000 0.0000 0.5000
Ga1 0.0000 0.0000 0.0000
# total energy: -2.33 eV per atom
# crystal system: tetragonal
# energy above the lowest structure with this stoichiometry: 330 meV per atom

***

| no. | total moment (μB/f.u.) | energy relative to the elements (eV per atom) |
| --- | --- | --- |
| 1 | 0.3 | 0.1611 |
| 2 | 0.8 | -0.2021 |
| 3 | 0.0 | -0.2355 |
| 4 | 0.0 | -0.3376 |
| 5 | 0.0 | -0.2951 |
| 6 | 0.0 | -0.1078 |
| 7 | 0.0 | -0.2409 |
| 8 | 0.0 | -0.2618 |
| 9 | 0.0 | -0.1398 |
| 10 | 0.0 | 0.1670 |
| 11 | 0.0 | -0.3597 |
| 12 | 0.2 | -0.2934 |
| 13 | 0.0 | -0.3796 |
| 14 | 0.0 | -0.1701 |
| 15 | 2.9 | -0.0261 |
| 16 | 0.0 | -0.3507 |
| 17 | 0.0 | -0.3336 |
| 18 | 0.0 | 0.8076 |
| 19 | 0.0 | -0.2079 |
| 20 | 0.0 | -0.4078 |
| 21 | 0.0 | -0.3572 |
| 22 | 0.0 | -0.3310 |
| 23 | 0.0 | -0.2065 |
| 24 | 0.8 | -0.0206 |